DFT (GGA-PBE) results for crystalline PmGdCdOs at its relaxed geometry.

Summary:
spin magnetization: 7.025 μB/cell
crystal system: cubic
symmetry: F-43m
calculated formation energy: -12 kJ/mol of atoms

Lattice parameters (Å, degrees): 5.1044 5.1044 5.1044 60.00 60.00 60.00
Last column: nearest neighbours and their distance in Å.
Sites, in units of the cell vectors:
Os 0.0000 0.0000 0.0000  4 Gd 3.13, 4 Pm 3.13
Gd 0.7500 0.7500 0.7500  4 Cd 3.13, 4 Os 3.13
Pm 0.2500 0.2500 0.2500  4 Os 3.13, 4 Cd 3.13
Cd 0.5000 0.5000 0.5000  4 Pm 3.13, 4 Gd 3.13

***

DFT (GGA-PBE) results for crystalline SrCa2Cr at its relaxed geometry.

Summary:
spin magnetization: 4.889 μB/cell
crystal system: tetragonal
symmetry: P4mm
calculated formation energy: 36 kJ/mol of atoms
excess energy over the best structure of this formula in the dataset: 13 meV per atom

Lattice parameters (Å, degrees): 3.9897 3.9880 9.3255 90.00 90.00 90.00
Last column: nearest neighbours and their distance in Å.
Sites, in units of the cell vectors:
Ca 0.0000 0.0000 0.0196  8 Ca 3.83-3.99, 4 Sr 4.08, 1 Cr 4.29
Ca 0.5000 0.5000 0.2975  4 Cr 3.29
Cr 0.0000 0.0000 0.4793  4 Ca 3.29, 4 Sr 3.51
Sr 0.5000 0.5000 0.7037  4 Cr 3.51, 1 Ca 3.79

***

DFT (GGA-PBE) results for crystalline Tl4Cd2Hg3 at its relaxed geometry.

Summary:
spin magnetization: 0.000 μB/cell
crystal system: trigonal
symmetry: P3m1
calculated formation energy: 4 kJ/mol of atoms
excess energy over the best structure of this formula in the dataset: 24 meV per atom

Lattice parameters (Å, degrees): 3.3634 3.3634 25.8845 90.00 90.00 120.00
Last column: nearest neighbours and their distance in Å.
Sites, in units of the cell vectors:
Hg 0.0000 0.0000 0.9838  6 Cd 3.19, 6 Hg 3.36
Hg 0.6667 0.3333 0.6602  6 Hg 3.36, 6 Tl 3.51-3.56
Hg 0.0000 0.0000 0.3142  6 Hg 3.36, 6 Tl 3.47-3.48
Cd 0.6667 0.3333 0.0814  1 Tl 3.15, 3 Hg 3.19, 6 Cd 3.36
Cd 0.6667 0.3333 0.8859  3 Hg 3.19, 6 Cd 3.36, 3 Tl 3.46
Tl 0.6667 0.3333 0.2033  1 Cd 3.15, 6 Tl 3.36, 3 Hg 3.47
Tl 0.0000 0.0000 0.7755  6 Tl 3.36, 3 Cd 3.46, 3 Hg 3.56
Tl 0.6667 0.3333 0.4259  9 Tl 3.36-3.69, 3 Hg 3.48
Tl 0.0000 0.0000 0.5470  9 Tl 3.36-3.69, 3 Hg 3.51

***

DFT (GGA-PBE) results for crystalline BiSbPt2 at its relaxed geometry.

Summary:
spin magnetization: 0.000 μB/cell
crystal system: trigonal
formation energy from raw total energies: -164.1 meV/atom
symmetry: R3m
excess energy over the best structure of this formula in the dataset: 204 meV per atom

Lattice parameters (Å, degrees): 3.9856 3.9856 7.0126 73.49 73.49 60.00
Last column: nearest neighbours and their distance in Å.
Sites, in units of the cell vectors:
Pt 0.2571 0.2571 0.2286  3 Sb 2.77, 3 Bi 2.96
Pt 0.0775 0.0775 0.7674  3 Sb 2.75, 3 Bi 2.87
Bi 0.4971 0.4971 0.5086  6 Pt 2.87-2.96
Sb 0.6682 0.6682 0.9954  6 Pt 2.75-2.77

***

DFT (GGA-PBE) results for crystalline Nd4DyY2 at its relaxed geometry.

Summary:
spin magnetization: 0.000 μB/cell
crystal system: orthorhombic
symmetry: Cmmm
calculated formation energy: 46 kJ/mol of atoms
excess energy over the best structure of this formula in the dataset: 276 meV per atom

Lattice parameters (Å, degrees): 6.0405 6.1959 7.2400 115.33 90.00 90.00
Last column: nearest neighbours and their distance in Å.
Sites, in units of the cell vectors:
Y 0.5000 0.1128 0.2257  1 Y 2.95, 5 Nd 3.11-3.28
Y 0.5000 0.8872 0.7743  1 Y 2.95, 5 Nd 3.11-3.28
Nd 0.5000 0.6368 0.2737  3 Y 3.11-3.28
Nd 0.5000 0.3632 0.7263  3 Y 3.11-3.28
Nd 0.0000 0.1927 0.3855  2 Y 3.20, 2 Nd 3.44
Nd 0.0000 0.8073 0.6145  2 Y 3.20, 2 Nd 3.44
Dy 0.0000 0.5000 0.0000  4 Nd 3.51

***

DFT (GGA-PBE) results for crystalline TbTm2N at its relaxed geometry.

Summary:
spin magnetization: 0.000 μB/cell
crystal system: tetragonal
formation energy from raw total energies: -220.6 meV/atom
symmetry: P4/mmm
excess energy over the best structure of this formula in the dataset: 607 meV per atom

Lattice parameters (Å, degrees): 3.1366 3.1366 8.6330 90.00 90.00 90.00
Last column: nearest neighbours and their distance in Å.
Sites, in units of the cell vectors:
Tb 0.5000 0.5000 0.5000  4 Tb 3.14
Tm 0.0000 0.0000 0.8384  4 N 2.62, 1 Tm 2.79
Tm 0.0000 0.0000 0.1616  4 N 2.62, 1 Tm 2.79
N 0.5000 0.5000 0.0000  8 Tm 2.62

***

DFT (GGA-PBE) results for crystalline RbPF at its relaxed geometry.

Summary:
spin magnetization: 0.000 μB/cell
crystal system: monoclinic
formation energy from raw total energies: -1526.6 meV/atom
symmetry: P2_1/m

Lattice parameters (Å, degrees): 3.4308 8.4703 10.7872 92.71 90.00 90.00
Last column: nearest neighbours and their distance in Å.
Sites, in units of the cell vectors:
P 0.7500 0.5785 0.0033  2 P 2.17
P 0.2500 0.9215 0.9967  2 P 2.17
P 0.7500 0.0785 0.0033  2 P 2.17
P 0.2500 0.4215 0.9967  2 P 2.17
Rb 0.2500 0.6333 0.6348  5 F 2.73-2.84
Rb 0.2500 0.1333 0.6348  5 F 2.73-2.84
Rb 0.7500 0.3667 0.3652  5 F 2.73-2.84
Rb 0.7500 0.8667 0.3652  5 F 2.73-2.84
F 0.7500 0.8829 0.6288  5 Rb 2.73-2.84
F 0.2500 0.6171 0.3712  5 Rb 2.73-2.84
F 0.7500 0.3829 0.6288  5 Rb 2.73-2.84
F 0.2500 0.1171 0.3712  5 Rb 2.73-2.84

***

DFT (GGA-PBE) results for crystalline Zn2InAs at its relaxed geometry.

Summary:
spin magnetization: 0.000 μB/cell
crystal system: tetragonal
symmetry: P4mm
calculated formation energy: 13 kJ/mol of atoms

Lattice parameters (Å, degrees): 3.7425 3.7425 5.8302 90.00 90.00 90.00
Last column: nearest neighbours and their distance in Å.
Sites, in units of the cell vectors:
As 0.0000 0.0000 0.4093  5 Zn 2.51-2.70
Zn 0.0000 0.0000 0.9782  1 As 2.51
Zn 0.5000 0.5000 0.3188  4 As 2.70, 1 In 2.77
In 0.5000 0.5000 0.7937  6 Zn 2.77-3.06